[1]
# CdCu2Cl | Alexandria | GGA-PBE | relaxed
data_CdCu2Cl
_space_group_name_H-M_alt 'P 1'
_space_group_IT_number 1
_cell_length_a 4.677
_cell_length_b 4.677
_cell_length_c 4.677
_cell_angle_alpha 60.00
_cell_angle_beta 60.00
_cell_angle_gamma 60.00
loop_
_space_group_symop_operation_xyz
'x,y,z'
loop_
_atom_site_label
_atom_site_fract_x
_atom_site_fract_y
_atom_site_fract_z
Cl1 0.250 0.250 0.250
Cu1 0.000 0.000 0.000
Cu2 0.750 0.750 0.750
Cd1 0.500 0.500 0.500
# - uncorrected energy (eV/atom) = -2.31
# - total magnetic moment (Bohr magnetons per cell) = 0.0
# - DOS at the Fermi energy (states/eV/atom) = 0.2744
# - energy relative to the lowest polymorph listed for this composition (eV/atom) = 0.484
# - raw formation energy (eV/atom) = 0.428

=====

[2]
# ScHg3Cl | Alexandria | GGA-PBE | relaxed
data_ScHg3Cl
_space_group_name_H-M_alt 'P 1'
_space_group_IT_number 1
_cell_length_a 5.703
_cell_length_b 5.703
_cell_length_c 5.703
_cell_angle_alpha 90.00
_cell_angle_beta 90.00
_cell_angle_gamma 90.00
loop_
_space_group_symop_operation_xyz
'x,y,z'
loop_
_atom_site_label
_atom_site_fract_x
_atom_site_fract_y
_atom_site_fract_z
Sc1 0.000 0.000 0.000
Hg1 0.000 0.500 0.000
Hg2 0.000 0.000 0.500
Hg3 0.500 0.000 0.000
Cl1 0.500 0.500 0.500
# - uncorrected energy (eV/atom) = -1.75
# - total magnetic moment (Bohr magnetons per cell) = 0.2
# - DOS at the Fermi energy (states/eV/atom) = 0.7340
# - energy relative to the lowest polymorph listed for this composition (eV/atom) = 0.000
# - raw formation energy (eV/atom) = 0.064

=====

What is the uncorrected energy in the second record?
-1.75 eV/atom